Material: Cs4Rb3BaCl8
Method: DFT, GGA-PBE
State: optimized geometry

Computed properties:
crystal system	trigonal
raw total energy	-160.67	eV for the cell shown

abc: 9.7969 9.7969 24.6529
angles: 90.00 90.00 120.00
Space group R-3m (No. 166, hexagonal axes)
Unique sites:
Cs: 0.0000 0.0000 0.0000 x3
Cs: 0.0000 0.5000 0.0000 x9
Rb: 0.0000 0.5000 0.5000 x9
Ba: 0.0000 0.0000 0.5000 x3
Cl: 0.0000 0.0000 0.2447 x6
Cl: 0.0275 0.5138 0.2380 x18

=====

Material: Cs2Rb3BaCl6
Method: DFT, GGA-PBE
State: optimized geometry

Computed properties:
crystal system	monoclinic
raw total energy	-80.48	eV for the cell shown

abc: 20.9584 4.9045 10.1195
angles: 90.00 102.76 90.00
Space group C2/m (No. 12)
Unique sites:
Cs: 0.1641 0.0000 0.3410 x4
Rb: 0.0000 0.5000 0.5000 x2
Rb: 0.1694 0.0000 0.8323 x4
Ba: 0.0000 0.5000 0.0000 x2
Cl: 0.0065 0.0000 0.8075 x4
Cl: 0.1548 0.5000 0.0682 x4
Cl: 0.1669 0.5000 0.6015 x4

=====

Material: CsRbBa2Cl
Method: DFT, GGA-PBE
State: optimized geometry

Computed properties:
crystal system	tetragonal
raw total energy	-10.43	eV for the cell shown

abc: 6.4453 6.4453 7.8220
angles: 90.00 90.00 90.00
Space group P4/mmm (No. 123)
Unique sites:
Cs: 0.0000 0.0000 0.0000 x1
Rb: 0.5000 0.5000 0.0000 x1
Ba: 0.0000 0.5000 0.5000 x2
Cl: 0.0000 0.0000 0.5000 x1

=====

Material: Cs3Rb2BaCl6
Method: DFT, GGA-PBE
State: optimized geometry

Computed properties:
crystal system	monoclinic
raw total energy	-80.43	eV for the cell shown

abc: 21.3666 4.8807 9.9520
angles: 90.00 104.41 90.00
Space group C2/m (No. 12)
Unique sites:
Cs: 0.0000 0.0000 0.0000 x2
Cs: 0.1689 0.5000 0.3299 x4
Rb: 0.1673 0.5000 0.8396 x4
Ba: 0.0000 0.0000 0.5000 x2
Cl: 0.0026 0.5000 0.7090 x4
Cl: 0.1522 0.0000 0.5865 x4
Cl: 0.1708 0.0000 0.0765 x4

=====

Material: CsRbBaCl2
Method: DFT, GGA-PBE
State: optimized geometry

Computed properties:
crystal system	tetragonal
raw total energy	-13.32	eV for the cell shown

abc: 6.1304 6.1304 9.2775
angles: 90.00 90.00 90.00
Space group P4/mmm (No. 123)
Unique sites:
Cs: 0.0000 0.0000 0.0000 x1
Rb: 0.5000 0.5000 0.0000 x1
Ba: 0.0000 0.0000 0.5000 x1
Cl: 0.0000 0.5000 0.5000 x2

=====

Material: Cs2BaRhCl6
Method: DFT, GGA-PBE
State: optimized geometry

Computed properties:
crystal system	tetragonal
raw total energy	-76.38	eV for the cell shown

abc: 7.6214 7.6214 11.5239
angles: 90.00 90.00 90.00
Space group I4mm (No. 107)
Unique sites:
Cs: 0.0000 0.5000 0.0000 x4
Ba: 0.0000 0.0000 0.2495 x2
Rh: 0.0000 0.0000 0.7494 x2
Cl: 0.0000 0.0000 0.5097 x2
Cl: 0.0000 0.0000 0.9892 x2
Cl: 0.2213 0.2213 0.7493 x8

=====

Material: CsBaS2Cl
Method: DFT, GGA-PBE
State: optimized geometry

Computed properties:
crystal system	tetragonal
raw total energy	-15.84	eV for the cell shown
E above lowest polymorph	0.417	eV/atom

abc: 5.4954 5.4954 6.0085
angles: 90.00 90.00 90.00
Space group P4/mmm (No. 123)
Unique sites:
Cs: 0.0000 0.0000 0.0000 x1
Ba: 0.5000 0.5000 0.5000 x1
S: 0.0000 0.5000 0.0000 x2
Cl: 0.0000 0.0000 0.5000 x1

=====

Material: Cs2BaSCl6
Method: DFT, GGA-PBE
State: optimized geometry

Computed properties:
crystal system	tetragonal
raw total energy	-67.07	eV for the cell shown

abc: 7.5653 7.5653 13.7162
angles: 90.00 90.00 90.00
Space group I4/mmm (No. 139)
Unique sites:
Cs: 0.0000 0.5000 0.2500 x4
Ba: 0.0000 0.0000 0.0000 x2
S: 0.0000 0.0000 0.5000 x2
Cl: 0.0000 0.0000 0.2184 x4
Cl: 0.2183 0.2183 0.5000 x8

=====

Material: CsBaS2Cl
Method: DFT, GGA-PBE
State: optimized geometry

Computed properties:
crystal system	tetragonal
raw total energy	-17.93	eV for the cell shown
E above lowest polymorph	0.000	eV/atom

abc: 6.0951 6.0951 6.0847
angles: 90.00 90.00 90.00
Space group P4/mmm (No. 123)
Unique sites:
Cs: 0.0000 0.0000 0.0000 x1
Ba: 0.5000 0.5000 0.5000 x1
S: 0.0000 0.5000 0.5000 x2
Cl: 0.5000 0.5000 0.0000 x1

=====

Material: CsBa2SnS4Cl
Method: DFT, GGA-PBE
State: optimized geometry

Computed properties:
crystal system	monoclinic
raw total energy	-164.18	eV for the cell shown

abc: 10.1085 9.0043 12.7803
angles: 90.00 90.96 90.00
Space group P2_1/c (No. 14)
Unique sites:
Cs: 0.0237 0.0879 0.3274 x4
Ba: 0.2478 0.6020 0.4776 x4
Ba: 0.4801 0.0953 0.3209 x4
Sn: 0.2591 0.1880 0.5981 x4
S: 0.0627 0.1737 0.0572 x4
S: 0.2846 0.1266 0.7818 x4
S: 0.2859 0.5363 0.9983 x4
S: 0.4453 0.1550 0.0619 x4
Cl: 0.2854 0.6700 0.7234 x4

=====

Material: Cs2BaSbCl6
Method: DFT, GGA-PBE
State: optimized geometry

Computed properties:
crystal system	tetragonal
raw total energy	-70.68	eV for the cell shown

abc: 8.0416 8.0416 12.9838
angles: 90.00 90.00 90.00
Space group I4/mmm (No. 139)
Unique sites:
Cs: 0.0000 0.5000 0.2500 x4
Ba: 0.0000 0.0000 0.0000 x2
Sb: 0.0000 0.0000 0.5000 x2
Cl: 0.0000 0.0000 0.2310 x4
Cl: 0.2340 0.2340 0.5000 x8

=====

Material: CsBaSi2Cl
Method: DFT, GGA-PBE
State: optimized geometry

Computed properties:
crystal system	tetragonal
raw total energy	-14.27	eV for the cell shown

abc: 5.2947 5.2947 5.8883
angles: 90.00 90.00 90.00
Space group P4/mmm (No. 123)
Unique sites:
Cs: 0.0000 0.0000 0.0000 x1
Ba: 0.5000 0.5000 0.0000 x1
Si: 0.0000 0.5000 0.5000 x2
Cl: 0.0000 0.0000 0.5000 x1

=====

Looking at magnetization for the records above, in order, we have 0.000 0.000 0.002 0.001 0.000 2.000 0.000 0.000 2.020 0.000 2.000 0.000 Bohr magnetons per cell.
Looking at mass density for the records above, in order, we have 2.94 2.86 2.70 3.04 2.03 3.57 3.38 2.74 2.72 3.94 2.92 3.64 g/cm3.